# CeTiVO6, relaxed, DFT GGA+U
# uncorrected energy	-8.381	eV/atom
data_CeTiVO6
_space_group_name_H-M_alt 'P 42 n m'
_space_group_IT_number 102
_space_group_name_Hall 'P 4n -2n'
_cell_length_a 4.766
_cell_length_b 4.766
_cell_length_c 9.620
_cell_angle_alpha 90.00
_cell_angle_beta 90.00
_cell_angle_gamma 90.00
loop_
_atom_site_label
_atom_site_type_symbol
_atom_site_fract_x
_atom_site_fract_y
_atom_site_fract_z
Ce1 Ce 0.000 0.000 0.000
Ti1 Ti 0.000 0.000 0.338
V1 V 0.000 0.000 0.670
O1 O 0.176 0.176 0.504
O2 O 0.211 0.211 0.819
O3 O 0.215 0.215 0.189